[1]
Nd12RuPb6 after structural relaxation. Source: Alexandria via LeMat-Bulk, functional GGA-PBE.

CIF file:
```
data_Nd12RuPb6
_space_group_name_H-M_alt 'R -3'
_space_group_IT_number 148
_space_group_name_Hall '-R 3'
_cell_length_a 12.5140
_cell_length_b 12.5140
_cell_length_c 14.5308
_cell_angle_alpha 90.00
_cell_angle_beta 90.00
_cell_angle_gamma 120.00
loop_
_atom_site_label
_atom_site_type_symbol
_atom_site_fract_x
_atom_site_fract_y
_atom_site_fract_z
_atom_site_occupancy
Nd1 Nd 0.0290 0.1905 0.3909 1
Nd2 Nd 0.0343 0.8416 0.8863 1
Ru1 Ru 0.0000 0.0000 0.0000 1
Pb1 Pb 0.0067 0.3896 0.2540 1
```

Properties
* calculated formation energy: -31 kJ/mol of atoms


[2]
TmReSi2Os after structural relaxation. Source: Alexandria via LeMat-Bulk, functional GGA-PBE.

CIF file:
```
data_TmReSi2Os
_space_group_name_H-M_alt 'I -4 m 2'
_space_group_IT_number 119
_space_group_name_Hall 'I -4 -2'
_cell_length_a 4.132
_cell_length_b 4.132
_cell_length_c 9.841
_cell_angle_alpha 90.00
_cell_angle_beta 90.00
_cell_angle_gamma 90.00
loop_
_atom_site_label
_atom_site_type_symbol
_atom_site_fract_x
_atom_site_fract_y
_atom_site_fract_z
_atom_site_occupancy
Tm1 Tm 0.000 0.000 0.000 1
Re1 Re 0.000 0.500 0.250 1
Si1 Si 0.000 0.000 0.377 1
Os1 Os 0.000 0.500 0.750 1
```


Number 1: density 7.8 g cm⁻³, VASP energy -4.990 eV per atom. Number 2: density 11.9 g cm⁻³, VASP energy -8.360 eV per atom.